(1)
{
  "formula": "Ta2Be6Nb",
  "functional": "PBE-GGA",
  "state": "relaxed",
  "sg": "P6/mmm (191)",
  "dos_at_fermi_per_ev_cell": 1.86,
  "total_energy_ev_per_cell": -58.0,
  "formation_energy_ev_per_atom": -0.21,
  "volume_a3_per_atom": 11.57,
  "magmom_total_mub_per_atom": 0.000,
  "lattice_angstrom": [[-2.5377, -1.2076, 1.0141], [3.3469, -4.2328, 3.3345], [-1.5964, 5.5530, 2.6178]],
  "species": ["Ta", "Ta", "Be", "Be", "Be", "Be", "Be", "Be", "Nb"],
  "frac_coords": [[0.0000, 0.3333, 0.6667], [0.0000, 0.6667, 0.3333], [0.5000, 0.3336, 0.3336], [0.5000, 0.3336, 0.0000], [0.5000, 0.6664, 0.6664], [0.5000, 0.0000, 0.3336], [0.5000, 0.0000, 0.6664], [0.5000, 0.6664, 0.0000], [0.0000, 0.0000, 0.0000]]
}

(2)
{
  "formula": "Cs3NbTe",
  "functional": "PBE-GGA",
  "state": "relaxed",
  "sg": "Pm-3m (221)",
  "dos_at_fermi_per_ev_cell": 11.08,
  "total_energy_ev_per_cell": -12.9,
  "volume_a3_per_atom": 79.16,
  "magmom_total_mub_per_atom": 0.800,
  "formation_energy_uncorrected_ev_per_atom": 0.584,
  "lattice_angstrom": [[7.3421, 0.0000, 0.0000], [0.0000, 7.3421, 0.0000], [0.0000, 0.0000, 7.3421]],
  "species": ["Te", "Cs", "Cs", "Cs", "Nb"],
  "frac_coords": [[0.0000, 0.0000, 0.0000], [0.5000, 0.0000, 0.0000], [0.0000, 0.5000, 0.0000], [0.0000, 0.0000, 0.5000], [0.5000, 0.5000, 0.5000]]
}

(3)
{
  "formula": "FeReS3",
  "functional": "PBE-GGA",
  "state": "relaxed",
  "sg": "Pm-3m (221)",
  "dos_at_fermi_per_ev_cell": 5.61,
  "total_energy_ev_per_cell": -27.9,
  "relative_energy_mev_per_atom": 349,
  "volume_a3_per_atom": 15.41,
  "magmom_total_mub_per_atom": 0.000,
  "formation_energy_uncorrected_ev_per_atom": 1.082,
  "lattice_angstrom": [[-1.1678, -3.1881, 2.5647], [2.5375, -2.6566, -2.1468], [3.2097, 0.9403, 2.6304]],
  "species": ["S", "S", "S", "Fe", "Re"],
  "frac_coords": [[0.5000, 0.0000, 0.0000], [0.0000, 0.0000, 0.5000], [0.0000, 0.5000, 0.0000], [0.0000, 0.0000, 0.0000], [0.5000, 0.5000, 0.5000]]
}

(4)
{
  "formula": "V3CoRh",
  "functional": "PBE-GGA",
  "state": "relaxed",
  "sg": "Pm-3m (221)",
  "dos_at_fermi_per_ev_cell": 6.95,
  "total_energy_ev_per_cell": -38.4,
  "formation_energy_ev_per_atom": 0.67,
  "relative_energy_mev_per_atom": 562,
  "volume_a3_per_atom": 15.32,
  "magmom_total_mub_per_atom": 0.000,
  "lattice_angstrom": [[4.2468, 0.0000, 0.0000], [0.0000, 4.2468, 0.0000], [0.0000, 0.0000, 4.2468]],
  "species": ["V", "V", "V", "Co", "Rh"],
  "frac_coords": [[0.0000, 0.5000, 0.0000], [0.0000, 0.0000, 0.5000], [0.5000, 0.0000, 0.0000], [0.0000, 0.0000, 0.0000], [0.5000, 0.5000, 0.5000]]
}

(5)
{
  "formula": "Ir2AuBr",
  "functional": "PBE-GGA",
  "state": "relaxed",
  "sg": "Fm-3m (225)",
  "dos_at_fermi_per_ev_cell": 5.54,
  "total_energy_ev_per_cell": -18.0,
  "relative_energy_mev_per_atom": 708,
  "volume_a3_per_atom": 16.91,
  "magmom_total_mub_per_atom": 0.237,
  "formation_energy_uncorrected_ev_per_atom": 1.162,
  "lattice_angstrom": [[0.0000, 3.2336, 3.2336], [3.2336, 0.0000, 3.2336], [3.2336, 3.2336, 0.0000]],
  "species": ["Au", "Br", "Ir", "Ir"],
  "frac_coords": [[0.5000, 0.5000, 0.5000], [0.0000, 0.0000, 0.0000], [0.2500, 0.2500, 0.2500], [0.7500, 0.7500, 0.7500]]
}

(6)
{
  "formula": "AcYTe2",
  "functional": "PBE-GGA",
  "state": "relaxed",
  "sg": "Fm-3m (225)",
  "dos_at_fermi_per_ev_cell": 2.86,
  "total_energy_ev_per_cell": -21.9,
  "relative_energy_mev_per_atom": 149,
  "volume_a3_per_atom": 30.60,
  "magmom_total_mub_per_atom": 0.216,
  "formation_energy_uncorrected_ev_per_atom": -1.253,
  "lattice_angstrom": [[5.5729, 0.0000, 0.0000], [2.7864, 4.8262, 0.0000], [2.7864, 1.6087, 4.5502]],
  "species": ["Y", "Te", "Te", "Ac"],
  "frac_coords": [[0.0000, 0.0000, 0.0000], [0.7500, 0.7500, 0.7500], [0.2500, 0.2500, 0.2500], [0.5000, 0.5000, 0.5000]]
}